No. 1
First-principles (GGA-PBE) data for a relaxed LiHfPt2 crystal, as listed in OQMD.

a b c (Å): 3.3453 3.3453 5.7294
angles (deg): 90.00 90.00 90.00
Sites, in units of the cell vectors:
Li 0.0000 0.0000 0.0000
Hf 0.0000 0.0000 0.5000
Pt 0.5000 0.5000 0.2393
Pt 0.5000 0.5000 0.7607

Values from the calculation:
The magnetization comes out at 0.0 μB/f.u. Its distance to the lowest polymorph of the same formula is 0.000 eV/atom.

No. 2
First-principles (GGA-PBE) data for a relaxed NaSbTeW crystal, as listed in OQMD.

a b c (Å): 7.1012 7.1012 7.1012
angles (deg): 90.00 90.00 90.00
Sites, in units of the cell vectors:
Na 0.0000 0.0000 0.0000
Na 0.0000 0.5000 0.5000
Na 0.5000 0.0000 0.5000
Na 0.5000 0.5000 0.0000
Sb 0.0000 0.0000 0.5000
Sb 0.0000 0.5000 0.0000
Sb 0.5000 0.0000 0.0000
Sb 0.5000 0.5000 0.5000
Te 0.2500 0.2500 0.2500
Te 0.2500 0.7500 0.7500
Te 0.7500 0.2500 0.7500
Te 0.7500 0.7500 0.2500
W 0.2500 0.2500 0.7500
W 0.2500 0.7500 0.2500
W 0.7500 0.2500 0.2500
W 0.7500 0.7500 0.7500

Values from the calculation:
The magnetization comes out at 1.8 μB/f.u. Its distance to the lowest polymorph of the same formula is 0.571 eV/atom.

No. 3
First-principles (GGA-PBE) data for a relaxed FeSe crystal, as listed in OQMD.

a b c (Å): 3.5089 3.5513 6.0473
angles (deg): 90.00 90.00 90.00
Sites, in units of the cell vectors:
Fe 0.2500 0.2500 0.0006
Fe 0.7500 0.7500 0.9994
Se 0.2500 0.7500 0.2621
Se 0.7500 0.2500 0.7379

Values from the calculation:
The magnetization comes out at 1.6 μB/f.u. The raw total energy is -24.57 eV for the cell shown.

No. 4
First-principles (GGA-PBE) data for a relaxed GdHoAlCo2 crystal, as listed in OQMD.

a b c (Å): 3.9000 3.7572 13.1980
angles (deg): 90.00 90.00 90.00
Sites, in units of the cell vectors:
Gd 0.0000 0.0000 0.0000
Gd 0.0000 0.5000 0.5000
Ho 0.0000 0.0000 0.7327
Ho 0.0000 0.5000 0.2327
Al 0.5000 0.0000 0.3651
Al 0.5000 0.5000 0.8651
Co 0.5000 0.0000 0.1670
Co 0.5000 0.0000 0.5690
Co 0.5000 0.5000 0.0690
Co 0.5000 0.5000 0.6670

Values from the calculation:
The magnetization comes out at 0.3 μB/f.u. Its distance to the lowest polymorph of the same formula is 0.082 eV/atom.

No. 5
First-principles (GGA-PBE) data for a relaxed CuNi3Bi5 crystal, as listed in OQMD.

a b c (Å): 5.4787 5.4787 8.0641
angles (deg): 90.00 90.00 120.00
Sites, in units of the cell vectors:
Cu 0.0000 0.0000 0.0000
Ni 0.0000 0.5000 0.5000
Ni 0.5000 0.0000 0.5000
Ni 0.5000 0.5000 0.5000
Bi 0.0000 0.0000 0.5000
Bi 0.3333 0.6667 0.2180
Bi 0.3333 0.6667 0.7820
Bi 0.6667 0.3333 0.2180
Bi 0.6667 0.3333 0.7820

Values from the calculation:
The magnetization comes out at 0.0 μB/f.u. The raw total energy is -39.12 eV for the cell shown.

No. 6
First-principles (GGA-PBE) data for a relaxed Y3FeAs crystal, as listed in OQMD.

a b c (Å): 3.6615 6.4687 6.5130
angles (deg): 119.54 90.70 92.09
Sites, in units of the cell vectors:
Y 0.0000 0.0000 0.0000
Y 0.0200 0.6544 0.3429
Y 0.9687 0.3119 0.6506
Fe 0.4943 0.3196 0.3271
As 0.4969 0.6514 0.9973

Values from the calculation:
The magnetization comes out at 0.4 μB/f.u. The raw total energy is -33.16 eV for the cell shown.

No. 7
First-principles (GGA-PBE) data for a relaxed ZrSnPd2 crystal, as listed in OQMD.

a b c (Å): 7.5440 7.0973 5.7227
angles (deg): 90.00 90.00 90.00
Sites, in units of the cell vectors:
Zr 0.0484 0.2500 0.1701
Zr 0.4516 0.7500 0.6701
Zr 0.5484 0.2500 0.3299
Zr 0.9516 0.7500 0.8299
Sn 0.0822 0.7500 0.3227
Sn 0.4178 0.2500 0.8227
Sn 0.5822 0.7500 0.1773
Sn 0.9178 0.2500 0.6773
Pd 0.2047 0.0384 0.5703
Pd 0.2047 0.4616 0.5703
Pd 0.2953 0.5384 0.0703
Pd 0.2953 0.9616 0.0703
Pd 0.7047 0.0384 0.9297
Pd 0.7047 0.4616 0.9297
Pd 0.7953 0.5384 0.4297
Pd 0.7953 0.9616 0.4297

Values from the calculation:
The magnetization comes out at 0.0 μB/f.u. The raw total energy is -100.71 eV for the cell shown.

No. 8
First-principles (GGA-PBE) data for a relaxed NiI3 crystal, as listed in OQMD.

a b c (Å): 4.9901 4.9901 4.9901
angles (deg): 90.00 90.00 90.00
Sites, in units of the cell vectors:
Ni 0.0000 0.0000 0.0000
I 0.0000 0.5000 0.5000
I 0.5000 0.0000 0.5000
I 0.5000 0.5000 0.0000

Values from the calculation:
The magnetization comes out at 1.7 μB/f.u. The raw total energy is -6.16 eV for the cell shown.

Number 1: calculated volume 16.029 Å³ per atom. Number 2: calculated volume 22.380 Å³ per atom. Number 3: calculated volume 18.839 Å³ per atom. Number 4: calculated volume 19.339 Å³ per atom. Number 5: calculated volume 23.291 Å³ per atom. Number 6: calculated volume 26.806 Å³ per atom. Number 7: calculated volume 19.150 Å³ per atom. Number 8: calculated volume 31.065 Å³ per atom.